Record 1
This record from Alexandria describes an optimized crystal structure of BaPaTlO5. The functional is PBE.

Cell and atoms, written as POSCAR:
```
BaPaTlO5
1.0
3.8596 -5.2532 0.0000
3.8596 5.2532 0.0000
-3.4397 0.0000 7.5681
Ba Pa Tl O
2 2 2 10
direct
0.1764 0.8236 0.7500 Ba
0.8236 0.1764 0.2500 Ba
0.5000 0.5000 0.0000 Pa
0.5000 0.5000 0.5000 Pa
0.1845 0.8155 0.2500 Tl
0.8155 0.1845 0.7500 Tl
0.1596 0.2471 0.9115 O
0.2063 0.6067 0.4144 O
0.2471 0.1596 0.4115 O
0.3933 0.7937 0.0856 O
0.4378 0.5622 0.7500 O
0.5622 0.4378 0.2500 O
0.6067 0.2063 0.9144 O
0.7529 0.8404 0.5885 O
0.7937 0.3933 0.5856 O
0.8404 0.7529 0.0885 O
```

Its space group is C2/c (15). Its density of states at the Fermi level is 0.00 states/eV/f.u. As for the uncorrected formation energy: -20.2 eV/f.u.


Record 2
This record from Alexandria describes an optimized crystal structure of MgCuGeRh. The functional is PBE.

Cell and atoms, written as POSCAR:
```
MgCuGeRh
1.0
0.0000 3.0721 3.0721
3.0721 0.0000 3.0721
3.0721 3.0721 0.0000
Mg Cu Ge Rh
1 1 1 1
direct
0.0000 0.0000 0.0000 Mg
0.2500 0.2500 0.2500 Cu
0.5000 0.5000 0.5000 Ge
0.7500 0.7500 0.7500 Rh
```

Its formation enthalpy at 0 K is -0.2831 eV/atom. Its space group is F-43m (216). Its density of states at the Fermi level is 2.45 states/eV/f.u.


Record 3
This record from Alexandria describes an optimized crystal structure of VAs2Rh2. The functional is PBE.

Cell and atoms, written as POSCAR:
```
VAs2Rh2
1.0
-1.9487 1.9487 5.6720
1.9487 -1.9487 5.6720
1.9487 1.9487 -5.6720
V As Rh
1 2 2
direct
0.0000 0.0000 0.0000 V
0.2500 0.7500 0.5000 As
0.7500 0.2500 0.5000 As
0.3867 0.3867 0.0000 Rh
0.6133 0.6133 0.0000 Rh
```

For the relative energy among the computed polymorphs, the calculation gives 271.2 meV/atom. Its formation enthalpy at 0 K is 0.1373 eV/atom. Its space group is I4/mmm (139). Its density of states at the Fermi level is 4.63 states/eV/f.u.


Record 4
This record from Alexandria describes an optimized crystal structure of Pm6Cd2NO. The functional is PBE.

Cell and atoms, written as POSCAR:
```
Pm6Cd2NO
1.0
0.0000 4.9699 4.9699
4.9699 0.0000 4.9699
4.9699 4.9699 0.0000
Pm Cd N O
6 2 1 1
direct
0.2479 0.2479 0.7521 Pm
0.2479 0.7521 0.2479 Pm
0.2479 0.7521 0.7521 Pm
0.7521 0.2479 0.2479 Pm
0.7521 0.2479 0.7521 Pm
0.7521 0.7521 0.2479 Pm
0.2500 0.2500 0.2500 Cd
0.7500 0.7500 0.7500 Cd
0.0000 0.0000 0.0000 N
0.5000 0.5000 0.5000 O
```

Its space group is Fm-3m (225). Its density of states at the Fermi level is 7.68 states/eV/f.u. As for the uncorrected formation energy: -10.3 eV/f.u.


Record 5
This record from Alexandria describes an optimized crystal structure of BaIn2Ga. The functional is PBE.

Cell and atoms, written as POSCAR:
```
BaIn2Ga
1.0
2.2575 1.3034 9.3276
-2.2575 1.3034 9.3276
0.0000 -2.6068 9.3276
Ba In Ga
1 2 1
direct
0.0000 0.0000 0.0000 Ba
0.1263 0.1263 0.1263 In
0.8737 0.8737 0.8737 In
0.5000 0.5000 0.5000 Ga
```

Its formation enthalpy at 0 K is 0.1356 eV/atom. Its space group is R-3m (166). Its density of states at the Fermi level is 3.25 states/eV/f.u.